A relaxed structure of LiFe2MoO6, computed with GGA+U.

Final energy   -6.5918 eV/atom
Symmetry   P2_1/c, No. 14
Total magnetization   22.00 μB per cell
Calculated density   4.6 g/cm3

Cell and atoms, written as POSCAR:
```
LiFe2MoO6
1.0
5.225 0.000 0.000
0.000 5.035 0.000
-5.056 0.000 8.477
Li Fe Mo O
2 4 2 12
direct
0.000 0.000 0.000 Li
0.000 0.500 0.500 Li
0.189 0.006 0.696 Fe
0.189 0.494 0.196 Fe
0.811 0.506 0.804 Fe
0.811 0.994 0.304 Fe
0.500 0.000 0.500 Mo
0.500 0.500 0.000 Mo
0.162 0.186 0.496 O
0.162 0.314 0.996 O
0.165 0.738 0.837 O
0.165 0.762 0.337 O
0.496 0.222 0.334 O
0.496 0.278 0.834 O
0.504 0.722 0.166 O
0.504 0.778 0.666 O
0.835 0.238 0.663 O
0.835 0.262 0.163 O
0.838 0.686 0.004 O
0.838 0.814 0.504 O
```